(1)
LaMgGa2: optimized geometry, PBE-GGA.

a = 7.2973 Å, b = 4.4483 Å, c = 11.7289 Å
α = 90.00°, β = 90.00°, γ = 90.00°
Closest atoms and distances in Å follow each position.
Sites, in units of the cell vectors:
La 0.1393 0.2500 0.1434  7 Ga 3.20-3.38, 1 Mg 3.51
La 0.3607 0.7500 0.6434  7 Ga 3.20-3.38, 1 Mg 3.51
La 0.6393 0.2500 0.3566  7 Ga 3.20-3.38, 1 Mg 3.51
La 0.8607 0.7500 0.8566  7 Ga 3.20-3.38, 1 Mg 3.51
Mg 0.1368 0.2500 0.4428  5 Ga 2.75-2.85
Mg 0.3632 0.7500 0.9428  5 Ga 2.75-2.85
Mg 0.6368 0.2500 0.0572  5 Ga 2.75-2.85
Mg 0.8632 0.7500 0.5572  5 Ga 2.75-2.85
Ga 0.0313 0.2500 0.6678  2 Ga 2.51-2.61, 1 Mg 2.75
Ga 0.1767 0.2500 0.8615  2 Ga 2.51-2.61, 2 Mg 2.78
Ga 0.3233 0.7500 0.3615  2 Ga 2.51-2.61, 2 Mg 2.78
Ga 0.4687 0.7500 0.1678  2 Ga 2.51-2.61, 1 Mg 2.75
Ga 0.5313 0.2500 0.8322  2 Ga 2.51-2.61, 1 Mg 2.75
Ga 0.6767 0.2500 0.6385  2 Ga 2.51-2.61, 2 Mg 2.78
Ga 0.8233 0.7500 0.1385  2 Ga 2.51-2.61, 2 Mg 2.78
Ga 0.9687 0.7500 0.3322  2 Ga 2.51-2.61, 1 Mg 2.75

Calculated values
- Size of the total moment: 0.00 μB per atom
- Final energy: -58.772 eV for the cell shown
- Energy relative to the elements: -0.5293 eV per atom
- Space-group type: Pnma

---

(2)
La4Mg2Ga: optimized geometry, PBE-GGA.

a = 9.3280 Å, b = 9.3280 Å, c = 9.3280 Å
α = 33.98°, β = 33.98°, γ = 33.98°
Closest atoms and distances in Å follow each position.
Sites, in units of the cell vectors:
La 0.1216 0.1216 0.1216  4 Mg 3.28-3.30, 3 Ga 3.36
La 0.3737 0.3737 0.3737  1 Ga 3.33, 4 Mg 3.35-3.37
La 0.6263 0.6263 0.6263  1 Ga 3.33, 4 Mg 3.35-3.37
La 0.8784 0.8784 0.8784  4 Mg 3.28-3.30, 3 Ga 3.36
Mg 0.2467 0.2467 0.2467  8 La 3.28-3.37
Mg 0.7533 0.7533 0.7533  8 La 3.28-3.37
Ga 0.5000 0.5000 0.5000  8 La 3.33-3.36

Calculated values
- Size of the total moment: 0.00 μB per atom
- Final energy: -26.427 eV for the cell shown
- Energy relative to the elements: -0.0716 eV per atom
- Space-group type: R-3m

---

(3)
La2MgGa: optimized geometry, PBE-GGA.

a = 12.2286 Å, b = 12.2286 Å, c = 12.2286 Å
α = 16.10°, β = 16.10°, γ = 16.10°
Closest atoms and distances in Å follow each position.
Sites, in units of the cell vectors:
La 0.0878 0.0878 0.0878  1 Ga 3.18, 6 La 3.43, 3 Mg 3.47
La 0.9122 0.9122 0.9122  1 Ga 3.18, 6 La 3.43, 3 Mg 3.47
Mg 0.5000 0.5000 0.5000  6 Mg 3.43, 6 La 3.47
Ga 0.0000 0.0000 0.0000  2 La 3.18, 6 Ga 3.43

Calculated values
- Size of the total moment: 0.00 μB per atom
- Final energy: -13.857 eV for the cell shown
- Energy relative to the elements: 0.1547 eV per atom
- Space-group type: R-3m

---

(4)
LaMgGa3: optimized geometry, PBE-GGA.

a = 12.4600 Å, b = 12.4600 Å, c = 4.2789 Å
α = 90.00°, β = 90.00°, γ = 159.93°
Closest atoms and distances in Å follow each position.
Sites, in units of the cell vectors:
La 0.0781 0.9219 0.7500  12 Ga 3.28-3.39
La 0.9219 0.0781 0.2500  12 Ga 3.28-3.39
Mg 0.2047 0.7953 0.2500  3 Ga 2.73-2.88
Mg 0.7953 0.2047 0.7500  3 Ga 2.73-2.88
Ga 0.3158 0.6842 0.2500  2 Ga 2.55, 1 Mg 2.73
Ga 0.3722 0.6278 0.7500  3 Ga 2.51-2.55
Ga 0.4745 0.5255 0.7500  3 Ga 2.48-2.51
Ga 0.5255 0.4745 0.2500  3 Ga 2.48-2.51
Ga 0.6278 0.3722 0.2500  3 Ga 2.51-2.55
Ga 0.6842 0.3158 0.7500  2 Ga 2.55, 1 Mg 2.73

Calculated values
- Size of the total moment: 0.00 μB per atom
- Final energy: -36.037 eV for the cell shown
- Energy relative to the elements: -0.4832 eV per atom
- Space-group type: Cmcm

---

(5)
LaMg14Ga: optimized geometry, PBE-GGA.

a = 6.5690 Å, b = 6.5690 Å, c = 10.2045 Å
α = 90.00°, β = 90.00°, γ = 120.00°
Closest atoms and distances in Å follow each position.
Sites, in units of the cell vectors:
La 0.0000 0.0000 0.0000  12 Mg 3.29
Mg 0.0167 0.5083 0.0000  10 Mg 3.12-3.45, 2 La 3.29
Mg 0.1664 0.3327 0.2635  1 Ga 3.07, 10 Mg 3.09-3.29, 1 La 3.29
Mg 0.1664 0.3327 0.7365  1 Ga 3.07, 10 Mg 3.09-3.29, 1 La 3.29
Mg 0.1664 0.8336 0.2635  1 Ga 3.07, 10 Mg 3.09-3.29, 1 La 3.29
Mg 0.1664 0.8336 0.7365  1 Ga 3.07, 10 Mg 3.09-3.29, 1 La 3.29
Mg 0.4917 0.5083 0.0000  10 Mg 3.12-3.45, 2 La 3.29
Mg 0.4917 0.9833 0.0000  10 Mg 3.12-3.45, 2 La 3.29
Mg 0.5052 0.0105 0.5000  10 Mg 3.09-3.39, 2 Ga 3.29
Mg 0.5052 0.4948 0.5000  10 Mg 3.09-3.39, 2 Ga 3.29
Mg 0.6667 0.3333 0.2383  12 Mg 3.14-3.29
Mg 0.6667 0.3333 0.7617  12 Mg 3.14-3.29
Mg 0.6673 0.8336 0.2635  1 Ga 3.07, 10 Mg 3.09-3.29, 1 La 3.29
Mg 0.6673 0.8336 0.7365  1 Ga 3.07, 10 Mg 3.09-3.29, 1 La 3.29
Mg 0.9895 0.4948 0.5000  10 Mg 3.09-3.39, 2 Ga 3.29
Ga 0.0000 0.0000 0.5000  12 Mg 3.07-3.29

Calculated values
- Size of the total moment: 0.00 μB per atom
- E above lowest polymorph: 0.033 eV/atom
- Final energy: -30.216 eV for the cell shown
- Energy relative to the elements: 0.0039 eV per atom
- Space-group type: P-6m2

---

(6)
LaMgGa2: optimized geometry, PBE-GGA.

a = 14.6142 Å, b = 4.4164 Å, c = 11.7257 Å
α = 90.00°, β = 90.00°, γ = 90.00°
Closest atoms and distances in Å follow each position.
Sites, in units of the cell vectors:
La 0.0556 0.2500 0.2404  9 Ga 3.20-3.54
La 0.1986 0.7500 0.9624  10 Ga 3.27-3.58, 3 Mg 3.52-3.59
La 0.3014 0.2500 0.4624  10 Ga 3.27-3.58, 3 Mg 3.52-3.59
La 0.4444 0.7500 0.7404  9 Ga 3.20-3.54
La 0.5556 0.2500 0.2596  9 Ga 3.20-3.54
La 0.6986 0.7500 0.5376  10 Ga 3.27-3.58, 3 Mg 3.52-3.59
La 0.8014 0.2500 0.0376  10 Ga 3.27-3.58, 3 Mg 3.52-3.59
La 0.9444 0.7500 0.7596  9 Ga 3.20-3.54
Mg 0.0613 0.2500 0.5521  4 Ga 2.76-2.84
Mg 0.1931 0.7500 0.6626  5 Ga 2.78-2.85
Mg 0.3069 0.2500 0.1626  5 Ga 2.78-2.85
Mg 0.4387 0.7500 0.0521  4 Ga 2.76-2.84
Mg 0.5613 0.2500 0.9479  4 Ga 2.76-2.84
Mg 0.6931 0.7500 0.8374  5 Ga 2.78-2.85
Mg 0.8069 0.2500 0.3374  5 Ga 2.78-2.85
Mg 0.9387 0.7500 0.4479  4 Ga 2.76-2.84
Ga 0.0336 0.2500 0.9684  3 Ga 2.50-2.53
Ga 0.1123 0.2500 0.7788  2 Ga 2.50-2.57, 1 Mg 2.76
Ga 0.1330 0.7500 0.4381  1 Ga 2.52, 3 Mg 2.78-2.79
Ga 0.2135 0.7500 0.2484  2 Ga 2.52-2.57, 2 Mg 2.78
Ga 0.2865 0.2500 0.7484  2 Ga 2.52-2.57, 2 Mg 2.78
Ga 0.3670 0.2500 0.9381  1 Ga 2.52, 3 Mg 2.78-2.79
Ga 0.3877 0.7500 0.2788  2 Ga 2.50-2.57, 1 Mg 2.76
Ga 0.4664 0.7500 0.4684  3 Ga 2.50-2.53
Ga 0.5336 0.2500 0.5316  3 Ga 2.50-2.53
Ga 0.6123 0.2500 0.7212  2 Ga 2.50-2.57, 1 Mg 2.76
Ga 0.6330 0.7500 0.0619  1 Ga 2.52, 3 Mg 2.78-2.79
Ga 0.7135 0.7500 0.2516  2 Ga 2.52-2.57, 2 Mg 2.78
Ga 0.7865 0.2500 0.7516  2 Ga 2.52-2.57, 2 Mg 2.78
Ga 0.8670 0.2500 0.5619  1 Ga 2.52, 3 Mg 2.78-2.79
Ga 0.8877 0.7500 0.2212  2 Ga 2.50-2.57, 1 Mg 2.76
Ga 0.9664 0.7500 0.0316  3 Ga 2.50-2.53

Calculated values
- Size of the total moment: 0.00 μB per atom
- Final energy: -117.734 eV for the cell shown
- Energy relative to the elements: -0.5352 eV per atom
- Space-group type: Pnma

---

(7)
La6Mg5Ga: optimized geometry, PBE-GGA.

a = 8.7703 Å, b = 8.7703 Å, c = 7.8780 Å
α = 90.00°, β = 90.00°, γ = 143.22°
Closest atoms and distances in Å follow each position.
Sites, in units of the cell vectors:
La 0.0000 0.0000 0.2360  2 Ga 3.33, 6 Mg 3.43-3.50, 1 La 3.72
La 0.0000 0.0000 0.7640  2 Ga 3.33, 6 Mg 3.43-3.50, 1 La 3.72
La 0.3391 0.6609 0.2423  1 Ga 3.29, 7 Mg 3.35-3.49
La 0.3391 0.6609 0.7577  1 Ga 3.29, 7 Mg 3.35-3.49
La 0.6609 0.3391 0.2423  1 Ga 3.29, 7 Mg 3.35-3.49
La 0.6609 0.3391 0.7577  1 Ga 3.29, 7 Mg 3.35-3.49
Mg 0.1688 0.8312 0.5000  8 La 3.43-3.50
Mg 0.1734 0.8266 0.0000  8 La 3.35-3.43
Mg 0.5000 0.5000 0.5000  8 La 3.36-3.46
Mg 0.8266 0.1734 0.0000  8 La 3.35-3.43
Mg 0.8312 0.1688 0.5000  8 La 3.43-3.50
Ga 0.5000 0.5000 0.0000  8 La 3.29-3.33

Calculated values
- Size of the total moment: 0.00 μB per atom
- Final energy: -42.862 eV for the cell shown
- Energy relative to the elements: -0.1915 eV per atom
- Space-group type: Cmmm

---

(8)
La3MgGa: optimized geometry, PBE-GGA.

a = 5.9627 Å, b = 5.9627 Å, c = 5.9627 Å
α = 90.00°, β = 90.00°, γ = 90.00°
Closest atoms and distances in Å follow each position.
Sites, in units of the cell vectors:
La 0.0000 0.0000 0.5000  2 Ga 2.98
La 0.0000 0.5000 0.0000  2 Ga 2.98
La 0.5000 0.0000 0.0000  2 Ga 2.98
Mg 0.5000 0.5000 0.5000  12 La 4.22
Ga 0.0000 0.0000 0.0000  6 La 2.98

Calculated values
- Size of the total moment: 0.37 μB per atom
- E above lowest polymorph: 0.346 eV/atom
- Final energy: -18.921 eV for the cell shown
- Energy relative to the elements: 0.0965 eV per atom
- Space-group type: Pm-3m

---

(9)
La2Mg3Ga4: optimized geometry, PBE-GGA.

a = 8.9089 Å, b = 8.9089 Å, c = 7.9839 Å
α = 90.00°, β = 90.00°, γ = 139.14°
Closest atoms and distances in Å follow each position.
Sites, in units of the cell vectors:
La 0.1000 0.9000 0.9038  7 Ga 3.22-3.40, 2 Mg 3.43
La 0.4000 0.6000 0.4038  7 Ga 3.22-3.40, 2 Mg 3.43
La 0.6000 0.4000 0.5962  7 Ga 3.22-3.40, 2 Mg 3.43
La 0.9000 0.1000 0.0962  7 Ga 3.22-3.40, 2 Mg 3.43
Mg 0.0000 0.0000 0.5000  6 Ga 2.76-2.82
Mg 0.0179 0.4821 0.7500  5 Ga 2.78-2.94, 2 Mg 3.11
Mg 0.4821 0.0179 0.2500  5 Ga 2.78-2.94, 2 Mg 3.11
Mg 0.5000 0.5000 0.0000  6 Ga 2.76-2.82
Mg 0.5179 0.9821 0.7500  5 Ga 2.78-2.94, 2 Mg 3.11
Mg 0.9821 0.5179 0.2500  5 Ga 2.78-2.94, 2 Mg 3.11
Ga 0.1690 0.8310 0.5167  5 Mg 2.82-2.94, 2 Ga 3.15
Ga 0.1843 0.3157 0.7500  3 Mg 2.76-2.78
Ga 0.3157 0.1843 0.2500  3 Mg 2.76-2.78
Ga 0.3310 0.6690 0.0167  5 Mg 2.82-2.94, 2 Ga 3.15
Ga 0.6690 0.3310 0.9833  5 Mg 2.82-2.94, 2 Ga 3.15
Ga 0.6843 0.8157 0.7500  3 Mg 2.76-2.78
Ga 0.8157 0.6843 0.2500  3 Mg 2.76-2.78
Ga 0.8310 0.1690 0.4833  5 Mg 2.82-2.94, 2 Ga 3.15

Calculated values
- Size of the total moment: 0.00 μB per atom
- Final energy: -60.478 eV for the cell shown
- Energy relative to the elements: -0.3881 eV per atom
- Space-group type: Cmce

---

(10)
LaMg4Ga2: optimized geometry, PBE-GGA.

a = 8.5186 Å, b = 8.5186 Å, c = 4.4400 Å
α = 90.00°, β = 90.00°, γ = 90.00°
Closest atoms and distances in Å follow each position.
Sites, in units of the cell vectors:
La 0.0000 0.0000 0.0000  6 Ga 3.32-3.56
La 0.5000 0.5000 0.5000  6 Ga 3.32-3.56
Mg 0.0935 0.3372 0.5000  3 Ga 2.78-2.83, 1 Mg 2.94
Mg 0.1628 0.5935 0.0000  3 Ga 2.78-2.83, 1 Mg 2.94
Mg 0.3372 0.0935 0.5000  3 Ga 2.78-2.83, 1 Mg 2.94
Mg 0.4065 0.8372 0.0000  3 Ga 2.78-2.83, 1 Mg 2.94
Mg 0.5935 0.1628 0.0000  3 Ga 2.78-2.83, 1 Mg 2.94
Mg 0.6628 0.9065 0.5000  3 Ga 2.78-2.83, 1 Mg 2.94
Mg 0.8372 0.4065 0.0000  3 Ga 2.78-2.83, 1 Mg 2.94
Mg 0.9065 0.6628 0.5000  3 Ga 2.78-2.83, 1 Mg 2.94
Ga 0.2045 0.7955 0.5000  6 Mg 2.78-2.83
Ga 0.2955 0.2955 0.0000  6 Mg 2.78-2.83
Ga 0.7045 0.7045 0.0000  6 Mg 2.78-2.83
Ga 0.7955 0.2045 0.5000  6 Mg 2.78-2.83

Calculated values
- Size of the total moment: 0.00 μB per atom
- E above lowest polymorph: 0.024 eV/atom
- Final energy: -38.898 eV for the cell shown
- Energy relative to the elements: -0.2985 eV per atom
- Space-group type: P4_2/mnm